DFT (GGA+U) results for crystalline CdNiOF2 at its relaxed geometry.

## Properties
distance to the lowest polymorph of the same formula: 72.8 kJ/mol of atoms
final energy: -3.112 eV per atom

Lattice parameters (Å, degrees): 4.273 4.273 4.258 90.00 90.00 90.00
Space group P4/mmm (No. 123)
Symmetry-distinct sites (fractional):
1 Cd 0.000 0.000 0.000 x1
2 Ni 0.500 0.500 0.500 x1
3 O 0.000 0.000 0.500 x1
4 F 0.000 0.500 0.000 x2